No. 1
First-principles (GGA-PBE) data for a relaxed Pm5TmTl8 crystal, as listed in Alexandria.

Cell lengths 8.156, 8.156, 8.156 Å; angles 109.01, 109.01, 110.39 degrees
Sites, in units of the cell vectors:
1 Pm 0.000 0.000 0.000
2 Pm 0.254 0.130 0.638
3 Pm 0.384 0.746 0.876
4 Pm 0.492 0.616 0.362
5 Pm 0.870 0.508 0.124
6 Tm 0.750 0.250 0.500
7 Tl 0.110 0.375 0.907
8 Tl 0.113 0.371 0.410
9 Tl 0.297 0.887 0.258
10 Tl 0.468 0.203 0.093
11 Tl 0.625 0.532 0.735
12 Tl 0.629 0.040 0.742
13 Tl 0.797 0.890 0.265
14 Tl 0.960 0.703 0.590

Calculated values
total moment: 0.000 μB/cell
energy of formation from the pure elements: -0.279 eV per atom

No. 2
First-principles (GGA-PBE) data for a relaxed TmMgBeHg crystal, as listed in Alexandria.

Cell lengths 6.824, 6.824, 6.824 Å; angles 90.00, 90.00, 90.00 degrees
Sites, in units of the cell vectors:
1 Tm 0.000 0.000 0.000
2 Tm 0.000 0.500 0.500
3 Tm 0.500 0.000 0.500
4 Tm 0.500 0.500 0.000
5 Mg 0.000 0.000 0.500
6 Mg 0.000 0.500 0.000
7 Mg 0.500 0.000 0.000
8 Mg 0.500 0.500 0.500
9 Be 0.250 0.250 0.750
10 Be 0.250 0.750 0.250
11 Be 0.750 0.250 0.250
12 Be 0.750 0.750 0.750
13 Hg 0.250 0.250 0.250
14 Hg 0.250 0.750 0.750
15 Hg 0.750 0.250 0.750
16 Hg 0.750 0.750 0.250

Calculated values
total moment: 0.000 μB/cell
energy of formation from the pure elements: -0.098 eV per atom

No. 3
First-principles (GGA-PBE) data for a relaxed Ba2NaYIr crystal, as listed in Alexandria.

Cell lengths 6.308, 6.308, 5.400 Å; angles 90.00, 90.00, 90.00 degrees
Sites, in units of the cell vectors:
1 Ba 0.000 0.500 0.000
2 Ba 0.500 0.000 0.000
3 Na 0.000 0.000 0.500
4 Y 0.500 0.500 0.500
5 Ir 0.500 0.500 0.000

Calculated values
total moment: 0.000 μB/cell
energy of formation from the pure elements: -0.128 eV per atom

No. 4
First-principles (GGA-PBE) data for a relaxed CeHo6Tm3 crystal, as listed in Alexandria.

Cell lengths 7.722, 7.722, 8.817 Å; angles 120.58, 120.58, 49.09 degrees
Sites, in units of the cell vectors:
1 Ce 0.000 0.000 0.000
2 Ho 0.009 0.495 0.824
3 Ho 0.207 0.207 0.451
4 Ho 0.495 0.009 0.824
5 Ho 0.505 0.991 0.176
6 Ho 0.793 0.793 0.549
7 Ho 0.991 0.505 0.176
8 Tm 0.000 0.000 0.500
9 Tm 0.493 0.493 0.774
10 Tm 0.507 0.507 0.226

Calculated values
total moment: 1.730 μB/cell
energy of formation from the pure elements: 0.364 eV per atom

No. 5
First-principles (GGA-PBE) data for a relaxed TbHoTh2P4 crystal, as listed in Alexandria.

Cell lengths 7.026, 4.089, 7.084 Å; angles 90.00, 109.70, 90.00 degrees
Sites, in units of the cell vectors:
1 Tb 0.000 0.000 0.000
2 Ho 0.000 0.500 0.500
3 Th 0.500 0.000 0.500
4 Th 0.500 0.500 0.000
5 P 0.242 0.000 0.746
6 P 0.243 0.500 0.249
7 P 0.757 0.500 0.751
8 P 0.758 0.000 0.254

Calculated values
total moment: 0.000 μB/cell
energy of formation from the pure elements: -1.585 eV per atom